Material: RbLiY2O4
Method: DFT, PBE
State: relaxed

Values from the calculation:
Formation energy from raw total energies, kJ/mol of atoms: -270.5
Magnetic moment, Bohr magnetons per cell: 0.00
Calculated total energy, eV/cell: -116.15

```
RbLiY2O4
1.0
3.490 0.000 0.000
-1.745 5.873 0.000
0.000 0.000 11.730
O Y Rb Li
8 4 2 2
direct
0.601 0.202 0.250 O
0.000 0.000 0.500 O
0.750 0.499 0.900 O
0.399 0.798 0.750 O
0.250 0.501 0.400 O
0.000 0.000 0.000 O
0.250 0.501 0.100 O
0.750 0.499 0.600 O
0.365 0.730 0.559 Y
0.365 0.730 0.941 Y
0.635 0.270 0.059 Y
0.635 0.270 0.441 Y
0.901 0.802 0.250 Rb
0.099 0.198 0.750 Rb
0.181 0.362 0.250 Li
0.819 0.638 0.750 Li
```